Record 1
Density functional theory data (PBE) for LaSm2Er7 after structural relaxation.

Summary:
symmetry = No. 65
ΔE_f = 0.62 eV/atom
energy above the lowest structure with this stoichiometry = 0 meV per atom
M_tot = 0.00 μB/cell

Structure (CIF):
```
data_LaSm2Er7
_cell_length_a 9.678
_cell_length_b 9.678
_cell_length_c 5.416
_cell_angle_alpha 90.00
_cell_angle_beta 90.00
_cell_angle_gamma 129.84
_space_group_name_H-M_alt 'P 1'
_space_group_IT_number 1
loop_
_space_group_symop_operation_xyz
'x,y,z'
loop_
_atom_site_label
_atom_site_type_symbol
_atom_site_fract_x
_atom_site_fract_y
_atom_site_fract_z
Er1 Er 0.905 0.707 0.500
Er2 Er 0.402 0.598 0.000
Sm1 Sm 0.265 0.735 0.500
Er3 Er 0.500 0.500 0.500
La1 La 0.000 0.000 0.000
Er4 Er 0.598 0.402 0.000
Er5 Er 0.095 0.293 0.500
Er6 Er 0.707 0.905 0.500
Er7 Er 0.293 0.095 0.500
Sm2 Sm 0.735 0.265 0.500
```

---

Record 2
Density functional theory data (PBE) for SmTmBr6 after structural relaxation.

Summary:
symmetry = No. 148
raw formation energy = -14.52 eV per formula unit
energy above the lowest structure with this stoichiometry = 18 meV per atom
M_tot = 0.00 μB/cell

Structure (CIF):
```
data_SmTmBr6
_cell_length_a 7.088
_cell_length_b 7.087
_cell_length_c 7.630
_cell_angle_alpha 62.32
_cell_angle_beta 62.32
_cell_angle_gamma 60.00
_space_group_name_H-M_alt 'P 1'
_space_group_IT_number 1
loop_
_space_group_symop_operation_xyz
'x,y,z'
loop_
_atom_site_label
_atom_site_type_symbol
_atom_site_fract_x
_atom_site_fract_y
_atom_site_fract_z
Sm1 Sm 0.000 0.000 0.000
Br1 Br 0.099 0.412 0.746
Br2 Br 0.588 0.256 0.254
Br3 Br 0.256 0.901 0.254
Br4 Br 0.901 0.588 0.254
Br5 Br 0.412 0.744 0.746
Br6 Br 0.744 0.099 0.746
Tm1 Tm 0.500 0.500 0.500
```

---

Please write out number 1 again, unchanged.
Density functional theory data (PBE) for LaSm2Er7 after structural relaxation.

Summary:
symmetry = No. 65
ΔE_f = 0.62 eV/atom
energy above the lowest structure with this stoichiometry = 0 meV per atom
M_tot = 0.00 μB/cell

Structure (CIF):
```
data_LaSm2Er7
_cell_length_a 9.678
_cell_length_b 9.678
_cell_length_c 5.416
_cell_angle_alpha 90.00
_cell_angle_beta 90.00
_cell_angle_gamma 129.84
_space_group_name_H-M_alt 'P 1'
_space_group_IT_number 1
loop_
_space_group_symop_operation_xyz
'x,y,z'
loop_
_atom_site_label
_atom_site_type_symbol
_atom_site_fract_x
_atom_site_fract_y
_atom_site_fract_z
Er1 Er 0.905 0.707 0.500
Er2 Er 0.402 0.598 0.000
Sm1 Sm 0.265 0.735 0.500
Er3 Er 0.500 0.500 0.500
La1 La 0.000 0.000 0.000
Er4 Er 0.598 0.402 0.000
Er5 Er 0.095 0.293 0.500
Er6 Er 0.707 0.905 0.500
Er7 Er 0.293 0.095 0.500
Sm2 Sm 0.735 0.265 0.500
```

---

Q: What is the formula in the first record?
A: LaSm2Er7